No. 1
VASP calculation (PBE) on TcPtRh2Au after structural relaxation.

extended XYZ file:
```
5
Lattice="4.773 0.000 0.000 0.000 4.773 0.000 0.000 0.000 5.009" Properties=species:S:1:pos:R:3 pbc="T T T"
Tc 0.000 0.000 0.000
Pt 2.386 2.386 2.504
Rh 0.000 2.386 2.504
Rh 2.386 0.000 2.504
Au 2.386 2.386 0.000
```

## Properties
calculated total energy	-25.98	eV/cell
ρ	10.13	g/cm³
crystal system	tetragonal
DOS at the Fermi energy	5.81	states/eV/f.u.
ΔH_f (0 K)	1.68	eV/atom

***

No. 2
VASP calculation (PBE) on RbCaCdS2 after structural relaxation.

extended XYZ file:
```
10
Lattice="7.725 0.000 0.000 0.000 5.546 0.000 -1.375 0.000 7.727" Properties=species:S:1:pos:R:3 pbc="T T T"
Rb -0.344 1.073 1.932
Rb -1.031 4.473 5.795
Ca 2.832 2.737 5.795
Ca 3.519 2.809 1.932
Cd 3.863 0.000 0.000
Cd 3.175 0.000 3.864
S 0.774 1.881 7.433
S 1.461 3.665 3.570
S 4.890 1.881 4.158
S 5.577 3.665 0.294
```

## Properties
calculated total energy	-34.12	eV/cell
formation energy (no corrections)	-985	meV per atom
ρ	3.03	g/cm³
crystal system	monoclinic
DOS at the Fermi energy	2.93	states/eV/f.u.

***

No. 3
VASP calculation (PBE) on ThB6W2 after structural relaxation.

extended XYZ file:
```
9
Lattice="-1.599 3.483 4.333 1.599 -3.483 4.333 1.599 3.483 -4.333" Properties=species:S:1:pos:R:3 pbc="T T T"
Th 0.000 0.000 0.000
B 1.599 1.811 -1.676
B 1.599 2.339 0.000
B 1.599 1.811 1.676
B 0.000 1.672 2.657
B 0.000 1.144 4.333
B 0.000 1.672 6.009
W 1.599 0.000 2.996
W 0.000 3.483 1.337
```

## Properties
calculated total energy	-77.79	eV/cell
ρ	11.43	g/cm³
crystal system	orthorhombic
DOS at the Fermi energy	1.59	states/eV/f.u.
ΔH_f (0 K)	-0.49	eV/atom

***

No. 4
VASP calculation (PBE) on PmPrMgPd after structural relaxation.

extended XYZ file:
```
16
Lattice="7.499 0.000 0.000 0.000 7.499 0.000 0.000 0.000 7.499" Properties=species:S:1:pos:R:3 pbc="T T T"
Pm 0.000 0.000 0.000
Pm 0.000 3.749 3.749
Pm 3.749 0.000 3.749
Pm 3.749 3.749 0.000
Pr 0.000 0.000 3.749
Pr 0.000 3.749 0.000
Pr 3.749 0.000 0.000
Pr 3.749 3.749 3.749
Mg 1.875 1.875 1.875
Mg 1.875 5.624 5.624
Mg 5.624 1.875 5.624
Mg 5.624 5.624 1.875
Pd 1.875 1.875 5.624
Pd 1.875 5.624 1.875
Pd 5.624 1.875 1.875
Pd 5.624 5.624 5.624
```

## Properties
calculated total energy	-70.40	eV/cell
ρ	6.56	g/cm³
crystal system	cubic
DOS at the Fermi energy	3.90	states/eV/f.u.
ΔH_f (0 K)	-0.32	eV/atom

***

No. 5
VASP calculation (PBE) on Pr2Al4GePt3 after structural relaxation.

extended XYZ file:
```
10
Lattice="4.365 0.000 0.000 0.000 4.365 0.000 0.000 0.000 10.317" Properties=species:S:1:pos:R:3 pbc="T T T"
Pr 0.000 2.182 2.572
Pr 2.182 0.000 7.745
Al 0.000 0.000 5.159
Al 0.000 2.182 8.916
Al 2.182 0.000 1.401
Al 2.182 2.182 5.159
Ge 2.182 2.182 0.000
Pt 0.000 0.000 0.000
Pt 0.000 2.182 6.464
Pt 2.182 0.000 3.853
```

## Properties
calculated total energy	-57.08	eV/cell
ρ	8.85	g/cm³
crystal system	tetragonal
DOS at the Fermi energy	7.29	states/eV/f.u.
ΔH_f (0 K)	-0.98	eV/atom

***

No. 6
VASP calculation (PBE) on LaFe2As after structural relaxation.

extended XYZ file:
```
4
Lattice="4.265 0.000 0.000 0.000 4.182 0.000 -0.187 0.000 4.700" Properties=species:S:1:pos:R:3 pbc="T T T"
La 0.000 0.000 0.000
Fe 1.795 2.091 3.579
Fe 2.284 2.091 1.122
As 2.039 0.000 2.350
```

## Properties
calculated total energy	-26.94	eV/cell
ρ	6.45	g/cm³
crystal system	monoclinic
DOS at the Fermi energy	4.66	states/eV/f.u.
ΔH_f (0 K)	-0.11	eV/atom

***

No. 7
VASP calculation (PBE) on K4Rb5Au2 after structural relaxation.

extended XYZ file:
```
11
Lattice="15.300 -2.488 0.000 15.300 2.488 0.000 -0.118 0.000 9.571" Properties=species:S:1:pos:R:3 pbc="T T T"
K 1.980 0.000 1.372
K 9.345 0.000 0.206
K 21.137 0.000 9.365
K 28.502 0.000 8.199
Rb 3.306 0.000 6.716
Rb 6.231 0.000 3.591
Rb 15.241 0.000 4.786
Rb 24.252 0.000 5.980
Rb 27.177 0.000 2.855
Au 6.820 0.000 7.243
Au 23.662 0.000 2.328
```

## Properties
calculated total energy	-16.61	eV/cell
ρ	2.23	g/cm³
crystal system	monoclinic
DOS at the Fermi energy	9.06	states/eV/f.u.
ΔH_f (0 K)	-0.08	eV/atom

***

No. 8
VASP calculation (PBE) on Li3YSe after structural relaxation.

extended XYZ file:
```
5
Lattice="5.552 0.000 0.000 0.000 5.552 0.000 0.000 0.000 5.552" Properties=species:S:1:pos:R:3 pbc="T T T"
Li 0.000 0.000 2.776
Li 0.000 2.776 0.000
Li 2.776 0.000 0.000
Y 0.000 0.000 0.000
Se 2.776 2.776 2.776
```

## Properties
calculated total energy	-11.05	eV/cell
formation energy (no corrections)	929	meV per atom
ρ	1.83	g/cm³
crystal system	cubic
DOS at the Fermi energy	2.68	states/eV/f.u.

***

No. 9
VASP calculation (PBE) on Pm2Zn5Ni2Ag after structural relaxation.

extended XYZ file:
```
20
Lattice="9.280 0.000 0.000 0.000 9.280 0.000 0.000 0.000 4.171" Properties=species:S:1:pos:R:3 pbc="T T T"
Pm 1.692 2.947 0.000
Pm 2.947 7.587 0.000
Pm 6.332 1.692 0.000
Pm 7.587 6.332 0.000
Zn 0.000 4.640 2.086
Zn 0.534 7.324 2.086
Zn 1.955 0.534 2.086
Zn 2.685 5.174 2.086
Zn 4.106 2.685 2.086
Zn 4.640 0.000 2.086
Zn 5.174 6.595 2.086
Zn 6.595 4.106 2.086
Zn 7.324 8.746 2.086
Zn 8.746 1.955 2.086
Ni 1.022 5.662 0.000
Ni 3.617 1.022 0.000
Ni 5.662 8.257 0.000
Ni 8.257 3.617 0.000
Ag 0.000 0.000 0.000
Ag 4.640 4.640 0.000
```

## Properties
calculated total energy	-65.88	eV/cell
ρ	7.79	g/cm³
crystal system	tetragonal
DOS at the Fermi energy	6.51	states/eV/f.u.
ΔH_f (0 K)	-0.27	eV/atom

***

No. 10
VASP calculation (PBE) on MnPtPb after structural relaxation.

extended XYZ file:
```
6
Lattice="4.116 0.000 0.000 0.000 4.116 0.000 0.000 0.000 7.111" Properties=species:S:1:pos:R:3 pbc="T T T"
Mn 1.029 3.087 0.000
Mn 3.087 1.029 0.000
Pt 1.029 1.029 1.616
Pt 3.087 3.087 5.495
Pb 1.029 1.029 4.607
Pb 3.087 3.087 2.504
```

## Properties
calculated total energy	-38.73	eV/cell
ρ	12.60	g/cm³
crystal system	tetragonal
DOS at the Fermi energy	1.03	states/eV/f.u.
ΔH_f (0 K)	-0.15	eV/atom

***

No. 11
VASP calculation (PBE) on Sm5DyHo6 after structural relaxation.

extended XYZ file:
```
12
Lattice="-2.931 3.720 8.919 2.931 -3.720 8.919 2.931 3.720 -8.919" Properties=species:S:1:pos:R:3 pbc="T T T"
Sm 0.000 0.000 0.000
Sm 2.931 0.000 3.131
Sm 0.000 0.000 5.768
Sm 0.000 0.000 12.069
Sm 0.000 3.720 5.788
Dy 0.000 3.720 0.000
Ho 2.931 -1.843 6.125
Ho 2.931 1.879 0.000
Ho 0.000 1.877 2.793
Ho 2.931 1.843 6.125
Ho 0.000 1.841 8.919
Ho 0.000 5.563 2.793
```

## Properties
calculated total energy	-54.30	eV/cell
ρ	8.13	g/cm³
crystal system	orthorhombic
DOS at the Fermi energy	23.89	states/eV/f.u.
ΔH_f (0 K)	0.11	eV/atom

***

No. 12
VASP calculation (PBE) on FePHAuC after structural relaxation.

extended XYZ file:
```
5
Lattice="2.716 0.000 0.000 1.358 2.353 0.000 0.128 0.007 10.222" Properties=species:S:1:pos:R:3 pbc="T T T"
Fe 0.000 0.000 0.000
P 1.358 0.784 1.719
H 1.486 0.792 7.973
Au 1.367 0.786 5.055
C 1.486 0.791 9.073
```

## Properties
calculated total energy	-28.40	eV/cell
ρ	7.55	g/cm³
crystal system	triclinic
DOS at the Fermi energy	2.36	states/eV/f.u.

***

No. 13
VASP calculation (PBE) on RbAuCl2 after structural relaxation.

extended XYZ file:
```
12
Lattice="4.428 0.000 0.000 -2.214 3.835 0.000 0.000 0.000 25.197" Properties=species:S:1:pos:R:3 pbc="T T T"
Rb 0.000 0.000 0.000
Rb 0.000 2.556 16.798
Rb 2.214 1.278 8.399
Au 0.000 0.000 12.598
Au 0.000 2.556 4.199
Au 2.214 1.278 20.997
Cl 0.000 0.000 2.948
Cl 0.000 0.000 22.249
Cl 0.000 2.556 13.850
Cl 0.000 2.556 19.746
Cl 2.214 1.278 5.451
Cl 2.214 1.278 11.347
```

## Properties
calculated total energy	-29.94	eV/cell
formation energy (no corrections)	-510	meV per atom
ρ	4.11	g/cm³
crystal system	trigonal
DOS at the Fermi energy	0.25	states/eV/f.u.

***

No. 14
VASP calculation (PBE) on CaB6Pt12 after structural relaxation.

extended XYZ file:
```
19
Lattice="5.404 3.120 2.705 -5.404 3.120 2.705 0.000 -6.240 2.705" Properties=species:S:1:pos:R:3 pbc="T T T"
Ca 0.000 0.000 0.000
B 0.000 -2.468 2.893
B -2.138 1.234 2.893
B -2.138 -1.234 5.223
B 2.138 1.234 2.893
B 2.138 -1.234 5.223
B 0.000 2.468 5.223
Pt -2.010 -3.481 4.058
Pt -4.020 0.000 4.058
Pt -1.482 -0.856 2.959
Pt 1.482 -0.856 2.959
Pt 0.000 1.711 2.959
Pt 2.010 -3.481 4.058
Pt -2.010 3.481 4.058
Pt 0.000 -1.711 5.156
Pt -1.482 0.856 5.156
Pt 1.482 0.856 5.156
Pt 4.020 0.000 4.058
Pt 2.010 3.481 4.058
```

## Properties
calculated total energy	-120.02	eV/cell
ρ	14.84	g/cm³
crystal system	trigonal
DOS at the Fermi energy	6.47	states/eV/f.u.
ΔH_f (0 K)	-0.29	eV/atom

***

No. 15
VASP calculation (PBE) on Cd2CoTcTe after structural relaxation.

extended XYZ file:
```
5
Lattice="5.568 0.000 0.000 0.000 5.568 0.000 0.000 0.000 4.589" Properties=species:S:1:pos:R:3 pbc="T T T"
Cd 0.000 2.784 0.000
Cd 2.784 0.000 0.000
Co 0.000 0.000 2.295
Tc 2.784 2.784 2.295
Te 0.000 0.000 0.000
```

## Properties
calculated total energy	-15.13	eV/cell
formation energy (no corrections)	1463	meV per atom
ρ	5.95	g/cm³
crystal system	tetragonal
DOS at the Fermi energy	4.03	states/eV/f.u.

***

No. 16
VASP calculation (PBE) on Ho2Ni15Sn2 after structural relaxation.

extended XYZ file:
```
19
Lattice="4.232 2.444 4.151 -4.232 2.444 4.151 0.000 -4.887 4.151" Properties=species:S:1:pos:R:3 pbc="T T T"
Ho 0.000 0.000 1.779
Ho 0.000 0.000 10.673
Ni -2.116 -1.222 4.151
Ni 0.000 -2.489 4.002
Ni -2.155 1.244 4.002
Ni -1.295 -2.243 6.226
Ni -2.590 0.000 6.226
Ni -2.155 -1.244 8.450
Ni -2.116 1.222 8.301
Ni 1.295 -2.243 6.226
Ni 0.000 2.444 4.151
Ni -1.295 2.243 6.226
Ni 2.155 1.244 4.002
Ni 2.590 0.000 6.226
Ni 1.295 2.243 6.226
Ni 2.155 -1.244 8.450
Ni 0.000 2.489 8.450
Sn 0.000 0.000 4.847
Sn 0.000 0.000 7.606
```

## Properties
calculated total energy	-107.58	eV/cell
ρ	9.33	g/cm³
crystal system	trigonal
DOS at the Fermi energy	25.65	states/eV/f.u.
ΔH_f (0 K)	-0.19	eV/atom

***

No. 17
VASP calculation (PBE) on LiCd4Sn after structural relaxation.

extended XYZ file:
```
6
Lattice="5.061 0.000 0.000 2.529 4.403 0.000 0.002 -0.001 6.196" Properties=species:S:1:pos:R:3 pbc="T T T"
Li 0.000 0.000 0.000
Cd 2.528 1.462 4.732
Cd 2.533 1.471 1.494
Cd 5.059 2.931 4.701
Cd 5.064 2.941 1.463
Sn 0.001 0.000 3.098
```

## Properties
calculated total energy	-10.04	eV/cell
ρ	6.92	g/cm³
crystal system	triclinic
DOS at the Fermi energy	1.75	states/eV/f.u.
ΔH_f (0 K)	-0.08	eV/atom

***

No. 18
VASP calculation (PBE) on Al15ZnGa4 after structural relaxation.

extended XYZ file:
```
20
Lattice="4.057 0.000 0.000 0.000 4.057 0.000 0.000 0.000 20.357" Properties=species:S:1:pos:R:3 pbc="T T T"
Al 0.000 0.000 0.000
Al 0.000 0.000 4.025
Al 0.000 0.000 8.129
Al 0.000 0.000 12.227
Al 0.000 0.000 16.332
Al 0.000 2.028 1.998
Al 0.000 2.028 6.079
Al 0.000 2.028 10.178
Al 0.000 2.028 14.278
Al 0.000 2.028 18.359
Al 2.028 0.000 1.998
Al 2.028 0.000 6.079
Al 2.028 0.000 10.178
Al 2.028 0.000 14.278
Al 2.028 0.000 18.359
Zn 2.028 2.028 0.000
Ga 2.028 2.028 4.042
Ga 2.028 2.028 8.138
Ga 2.028 2.028 12.219
Ga 2.028 2.028 16.314
```

## Properties
calculated total energy	-69.42	eV/cell
ρ	3.71	g/cm³
crystal system	tetragonal
DOS at the Fermi energy	3.10	states/eV/f.u.
ΔH_f (0 K)	0.00	eV/atom

***

No. 19
VASP calculation (PBE) on LaInBr2 after structural relaxation.

extended XYZ file:
```
4
Lattice="4.231 0.000 0.000 0.000 5.648 0.000 -2.107 0.000 5.382" Properties=species:S:1:pos:R:3 pbc="T T T"
La 0.000 0.000 0.000
In 0.008 2.824 4.476
Br 0.000 2.824 1.290
Br 2.117 0.000 2.302
```

## Properties
calculated total energy	-15.33	eV/cell
formation energy (no corrections)	-1079	meV per atom
ρ	5.34	g/cm³
crystal system	monoclinic
DOS at the Fermi energy	1.54	states/eV/f.u.

***

No. 20
VASP calculation (PBE) on BaMg3Zn after structural relaxation.

extended XYZ file:
```
10
Lattice="7.228 0.000 0.000 -3.614 6.260 0.000 0.000 0.000 6.187" Properties=species:S:1:pos:R:3 pbc="T T T"
Ba 0.000 4.173 1.547
Ba 3.614 2.087 4.640
Mg 0.000 2.290 4.640
Mg -1.631 5.115 4.640
Mg 1.984 1.145 1.547
Mg 1.631 5.115 4.640
Mg 5.245 1.145 1.547
Mg 3.614 3.970 1.547
Zn 0.000 0.000 0.000
Zn 0.000 0.000 3.093
```

## Properties
calculated total energy	-16.36	eV/cell
ρ	3.27	g/cm³
crystal system	hexagonal
DOS at the Fermi energy	3.89	states/eV/f.u.
ΔH_f (0 K)	-0.04	eV/atom

***

No. 21
VASP calculation (PBE) on Tb3Al after structural relaxation.

extended XYZ file:
```
4
Lattice="3.369 0.000 0.000 0.000 3.403 0.000 0.000 0.000 10.322" Properties=species:S:1:pos:R:3 pbc="T T T"
Tb 0.000 0.000 0.000
Tb 0.000 1.702 4.560
Tb 1.685 1.702 7.707
Al 1.685 0.000 2.589
```

## Properties
calculated total energy	-17.29	eV/cell
ρ	7.07	g/cm³
crystal system	orthorhombic
DOS at the Fermi energy	5.03	states/eV/f.u.
ΔH_f (0 K)	0.09	eV/atom

***

No. 22
VASP calculation (PBE) on AsSe2Cl after structural relaxation.

extended XYZ file:
```
16
Lattice="7.185 0.000 0.000 0.000 7.185 0.000 0.000 0.000 7.942" Properties=species:S:1:pos:R:3 pbc="T T T"
As 0.000 0.000 0.000
As 0.000 3.592 1.985
As 3.592 0.000 5.956
As 3.592 3.592 3.971
Se 1.405 1.796 0.993
Se 1.796 4.998 2.978
Se 1.796 5.779 6.949
Se 2.187 1.796 4.964
Se 4.998 5.388 4.964
Se 5.388 1.405 6.949
Se 5.388 2.187 2.978
Se 5.779 5.388 0.993
Cl 0.000 0.000 3.971
Cl 0.000 3.592 5.956
Cl 3.592 0.000 1.985
Cl 3.592 3.592 0.000
```

## Properties
calculated total energy	-52.08	eV/cell
formation energy (no corrections)	112	meV per atom
ρ	4.35	g/cm³
crystal system	tetragonal
DOS at the Fermi energy	0.50	states/eV/f.u.